(1)
A plane-wave DFT calculation with GGA-PBE was carried out for an optimized crystal structure of RbAuI2F.

a b c (Å): 5.828 5.828 4.572
angles (deg): 90.00 90.00 90.00
Element x y z (fractional)
I 0.000 0.500 0.000
I 0.500 0.000 0.000
Au 0.000 0.000 0.000
Rb 0.500 0.500 0.500
F 0.000 0.000 0.500

Properties
* crystal system: tetragonal

***

(2)
A plane-wave DFT calculation with GGA-PBE was carried out for an optimized crystal structure of Re2AuIF.

a b c (Å): 4.153 5.468 4.153
angles (deg): 90.00 90.00 90.00
Element x y z (fractional)
I 0.500 0.500 0.500
Re 0.000 0.000 0.500
Re 0.500 0.000 0.000
Au 0.000 0.500 0.000
F 0.000 0.000 0.000

Properties
* crystal system: tetragonal

***

(3)
A plane-wave DFT calculation with GGA-PBE was carried out for an optimized crystal structure of ReAuIF2.

a b c (Å): 4.240 6.752 4.240
angles (deg): 90.00 90.00 90.00
Element x y z (fractional)
I 0.000 0.500 0.000
Re 0.500 0.500 0.500
Au 0.000 0.000 0.000
F 0.000 0.000 0.500
F 0.500 0.000 0.000

Properties
* crystal system: tetragonal

***

(4)
A plane-wave DFT calculation with GGA-PBE was carried out for an optimized crystal structure of SnAuIF2.

a b c (Å): 4.485 5.627 4.485
angles (deg): 90.00 90.00 90.00
Element x y z (fractional)
I 0.500 0.500 0.500
Au 0.000 0.000 0.000
Sn 0.000 0.500 0.000
F 0.000 0.000 0.500
F 0.500 0.000 0.000

Properties
* crystal system: tetragonal

***

(5)
A plane-wave DFT calculation with GGA-PBE was carried out for an optimized crystal structure of TiAu2IF.

a b c (Å): 5.288 3.945 5.288
angles (deg): 90.00 90.00 90.00
Element x y z (fractional)
I 0.500 0.500 0.500
F 0.000 0.500 0.000
Au 0.000 0.000 0.500
Au 0.500 0.000 0.000
Ti 0.000 0.000 0.000

Properties
* crystal system: tetragonal

***

no.,total energy (eV per atom),formation energy without anion corrections (eV/atom)
1,-2.749,-0.906
2,-4.739,1.580
3,-3.743,0.460
4,-3.227,-0.712
5,-4.045,-0.471